(1)
Computed, not measured: InPbBr2 after structural relaxation at the PBE-GGA level of DFT. Values from VASP.

Calculated values
Energy relative to the elements, uncorrected   -443 meV per atom
Raw total energy   -2.8908 eV/atom
E above lowest polymorph   0.097 eV per atom

Cell and atoms, written as Quantum ESPRESSO input:
```
&SYSTEM
  ibrav = 0, nat = 4, ntyp = 3
/
ATOMIC_SPECIES
In 114.82 In.upf
Pb 207.20 Pb.upf
Br 79.90 Br.upf
CELL_PARAMETERS angstrom
4.109 0.000 0.000
0.000 4.791 0.000
0.000 0.000 6.298
ATOMIC_POSITIONS angstrom
In 0.000 0.000 0.000
Pb 2.054 0.000 3.149
Br 0.000 2.396 3.149
Br 2.054 2.396 0.000
```

---

(2)
Computed, not measured: CsAsBr2Cl after structural relaxation at the PBE-GGA level of DFT. Values from VASP.

Calculated values
Energy relative to the elements, uncorrected   -276 meV per atom
Raw total energy   -2.4153 eV/atom
E above lowest polymorph   0.656 eV per atom

Cell and atoms, written as Quantum ESPRESSO input:
```
&SYSTEM
  ibrav = 0, nat = 5, ntyp = 4
/
ATOMIC_SPECIES
Cs 132.91 Cs.upf
As 74.92 As.upf
Br 79.90 Br.upf
Cl 35.45 Cl.upf
CELL_PARAMETERS angstrom
6.674 0.000 0.000
0.000 6.674 0.000
0.000 0.000 4.601
ATOMIC_POSITIONS angstrom
Cs 0.000 0.000 0.000
As 3.337 3.337 0.000
Br 0.000 3.337 2.301
Br 3.337 0.000 2.301
Cl 3.337 3.337 2.301
```

---

(3)
Computed, not measured: CeURu after structural relaxation at the PBE-GGA level of DFT. Values from VASP.

Calculated values
Raw total energy   -8.8847 eV/atom
E above lowest polymorph   0.071 eV per atom
Calculated formation energy   -0.052 eV per atom

Cell and atoms, written as Quantum ESPRESSO input:
```
&SYSTEM
  ibrav = 0, nat = 3, ntyp = 3
/
ATOMIC_SPECIES
Ce 140.12 Ce.upf
U 238.03 U.upf
Ru 101.07 Ru.upf
CELL_PARAMETERS angstrom
4.705 0.000 0.000
-2.353 4.075 0.000
0.000 0.000 3.108
ATOMIC_POSITIONS angstrom
Ce 0.000 0.000 0.000
U 0.000 2.717 0.932
Ru 2.353 1.358 1.901
```

---

(4)
Computed, not measured: La6AgRu2 after structural relaxation at the PBE-GGA level of DFT. Values from VASP.

Calculated values
Raw total energy   -5.9171 eV/atom
E above lowest polymorph   0.000 eV per atom
Calculated formation energy   -0.254 eV per atom

Cell and atoms, written as Quantum ESPRESSO input:
```
&SYSTEM
  ibrav = 0, nat = 9, ntyp = 3
/
ATOMIC_SPECIES
La 138.91 La.upf
Ag 107.87 Ag.upf
Ru 101.07 Ru.upf
CELL_PARAMETERS angstrom
5.170 -2.728 0.000
5.170 2.728 0.000
-1.482 0.000 9.024
ATOMIC_POSITIONS angstrom
La -0.077 0.000 3.108
La 2.041 0.000 5.964
La 3.412 0.000 1.054
La 5.445 0.000 7.970
La 6.817 0.000 3.061
La 8.934 0.000 5.916
Ag 0.000 0.000 0.000
Ru 3.391 0.000 3.551
Ru 5.466 0.000 5.474
```

---

(5)
Computed, not measured: K4CaZn after structural relaxation at the PBE-GGA level of DFT. Values from VASP.

Calculated values
Raw total energy   -0.9317 eV/atom
Calculated formation energy   0.346 eV per atom

Cell and atoms, written as Quantum ESPRESSO input:
```
&SYSTEM
  ibrav = 0, nat = 6, ntyp = 3
/
ATOMIC_SPECIES
K 39.10 K.upf
Ca 40.08 Ca.upf
Zn 65.41 Zn.upf
CELL_PARAMETERS angstrom
0.000 5.605 5.605
5.605 0.000 5.605
5.605 5.605 0.000
ATOMIC_POSITIONS angstrom
K 1.401 1.401 1.401
K 4.205 4.205 1.401
K 4.205 1.401 4.205
K 1.401 4.205 4.205
Ca 5.605 5.605 5.605
Zn 8.408 8.408 8.408
```

---

(6)
Computed, not measured: Tm2TlHg after structural relaxation at the PBE-GGA level of DFT. Values from VASP.

Calculated values
Raw total energy   -3.2060 eV/atom
Calculated formation energy   -0.303 eV per atom

Cell and atoms, written as Quantum ESPRESSO input:
```
&SYSTEM
  ibrav = 0, nat = 4, ntyp = 3
/
ATOMIC_SPECIES
Tm 168.93 Tm.upf
Tl 204.38 Tl.upf
Hg 200.59 Hg.upf
CELL_PARAMETERS angstrom
1.849 1.068 9.300
-1.849 1.068 9.300
0.000 -2.135 9.300
ATOMIC_POSITIONS angstrom
Tm 0.000 0.000 6.915
Tm 0.000 0.000 20.985
Tl 0.000 0.000 0.000
Hg 0.000 0.000 13.950
```